A relaxed Sr2MgZn3Pd4 crystal. Source: Alexandria via LeMat-Bulk, functional PBE.

Cell: 4.2739 4.2739 11.2627 Å, 90.00 90.00 90.00°
Fractional positions:
1 Sr 0.0000 0.5000 0.2388
2 Sr 0.5000 0.0000 0.7612
3 Mg 0.0000 0.0000 0.5000
4 Zn 0.0000 0.5000 0.8718
5 Zn 0.5000 0.0000 0.1282
6 Zn 0.5000 0.5000 0.5000
7 Pd 0.0000 0.0000 0.0000
8 Pd 0.0000 0.5000 0.6422
9 Pd 0.5000 0.0000 0.3578
10 Pd 0.5000 0.5000 0.0000

Output
* E_form: -5.91 eV/f.u.
* total magnetic moment: 0.000 μB per formula unit